Computed, not measured: a geometry-optimized Mn3SnO structure at the PBE with a Hubbard U level of DFT.

Calculated values
D(E_F) = 0.004 states/eV per atom
Polymorph energy (0 for the lowest one) = 1325 meV per atom
Total magnetic moment = 3.00 μB per atom

Lattice parameters (Å, degrees): 5.209 5.209 5.209 90.00 90.00 90.00
Fractional positions:
Mn 0.000 0.500 0.000
Mn 0.500 0.000 0.000
Sn 0.000 0.000 0.000
Mn 0.000 0.000 0.500
O 0.500 0.500 0.500